Entry from Alexandria: crystalline InHgPt3 at its relaxed geometry (PBE).

The space group is Pm-3m (No. 221) and the conventional cell measures 4.965, 4.965 and 4.965 Å, with angles of 90.00, 90.00 and 90.00 degrees. The asymmetric unit holds In at (0.000, 0.000, 0.000), Hg at (0.500, 0.500, 0.500) and Pt at (0.000, 0.000, 0.500).

As for the energy above the most stable polymorph in this dataset: 0 meV per atom. As for the total energy: -3.289 eV per atom. The value obtained for the formation energy is 0.94 eV/atom.